# Tb2MoO6 PBE+U relaxed
# **Electronic total energy**: -7.824 eV per atom
# **Total magnetization**: 0.00 Bohr magnetons per cell
data_Tb2MoO6
_chemical_formula_sum 'Tb4 Mo2 O12'
_symmetry_space_group_name_H-M 'P 1 21/c 1'
_symmetry_Int_Tables_number 14
_cell_length_a 5.4803
_cell_length_b 5.7360
_cell_length_c 9.3581
_cell_angle_alpha 90.00
_cell_angle_beta 119.62
_cell_angle_gamma 90.00
loop_
_symmetry_equiv_pos_as_xyz
'x,y,z'
'-x,-y,-z'
'-x,y+1/2,-z+1/2'
'x,-y+1/2,z+1/2'
loop_
_atom_site_label
_atom_site_type_symbol
_atom_site_fract_x
_atom_site_fract_y
_atom_site_fract_z
Tb1 Tb 0.1894 0.0769 0.2310
Mo1 Mo 0.5000 0.0000 0.0000
O1 O 0.1667 0.1787 0.9515
O2 O 0.2450 0.7362 0.8906
O3 O 0.4628 0.1000 0.7937